Entry from Alexandria: PrCu5Hg after structural relaxation (PBE).

Cell: 8.4164 5.1309 10.5783 Å, 90.00 90.00 90.00°
Closest atoms and distances in Å follow each position.
Atoms (fractional coordinates):
Pr  0.2426  0.2500  0.0640  12 Cu 2.97-3.29, 1 Hg 3.29
Pr  0.2574  0.7500  0.5640  12 Cu 2.97-3.29, 1 Hg 3.29
Pr  0.7426  0.2500  0.4360  12 Cu 2.97-3.29, 1 Hg 3.29
Pr  0.7574  0.7500  0.9360  12 Cu 2.97-3.29, 1 Hg 3.29
Cu  0.0551  0.7500  0.1122  4 Cu 2.49-2.58, 1 Hg 2.70
Cu  0.0672  0.5006  0.3144  7 Cu 2.49-2.57
Cu  0.0672  0.9994  0.3144  7 Cu 2.49-2.57
Cu  0.0814  0.2500  0.5158  5 Cu 2.49-2.55
Cu  0.1850  0.2500  0.7422  7 Cu 2.54-2.58
Cu  0.3150  0.7500  0.2422  7 Cu 2.54-2.58
Cu  0.4186  0.7500  0.0158  5 Cu 2.49-2.55
Cu  0.4328  0.0006  0.8144  7 Cu 2.49-2.57
Cu  0.4328  0.4994  0.8144  7 Cu 2.49-2.57
Cu  0.4449  0.2500  0.6122  4 Cu 2.49-2.58, 1 Hg 2.70
Cu  0.5551  0.7500  0.3878  4 Cu 2.49-2.58, 1 Hg 2.70
Cu  0.5672  0.5006  0.1856  7 Cu 2.49-2.57
Cu  0.5672  0.9994  0.1856  7 Cu 2.49-2.57
Cu  0.5814  0.2500  0.9842  5 Cu 2.49-2.55
Cu  0.6850  0.2500  0.7578  7 Cu 2.54-2.58
Cu  0.8150  0.7500  0.2578  7 Cu 2.54-2.58
Cu  0.9186  0.7500  0.4842  5 Cu 2.49-2.55
Cu  0.9328  0.0006  0.6856  7 Cu 2.49-2.57
Cu  0.9328  0.4994  0.6856  7 Cu 2.49-2.57
Cu  0.9449  0.2500  0.8878  4 Cu 2.49-2.58, 1 Hg 2.70
Hg  0.1376  0.7500  0.8654  8 Cu 2.70-2.90
Hg  0.3624  0.2500  0.3654  8 Cu 2.70-2.90
Hg  0.6376  0.7500  0.6347  8 Cu 2.70-2.90
Hg  0.8624  0.2500  0.1346  8 Cu 2.70-2.90

***

Entry from Alexandria: Ac3OsN5 after structural relaxation (PBE).

Properties
energy relative to the elements, uncorrected	-0.75	eV/atom

Cell: 7.8438 7.8438 7.8438 Å, 125.41 125.41 80.85°
Closest atoms and distances in Å follow each position.
Atoms (fractional coordinates):
Ac  0.1784  0.6784  0.8569  4 N 2.56-2.65
Ac  0.2500  0.2500  0.0000  10 N 2.99-3.01
Ac  0.3216  0.1784  0.5000  4 N 2.56-2.65
Ac  0.6784  0.8216  0.5000  4 N 2.56-2.65
Ac  0.7500  0.7500  0.0000  10 N 2.99-3.01
Ac  0.8216  0.3216  0.1431  4 N 2.56-2.65
Os  0.2500  0.7500  0.5000  4 N 1.87
Os  0.7500  0.2500  0.5000  4 N 1.87
N  0.0000  0.0000  0.0000  4 Ac 2.65
N  0.0088  0.7928  0.5000  1 Os 1.87
N  0.2072  0.7072  0.2159  1 Os 1.87
N  0.2928  0.5088  0.5000  1 Os 1.87
N  0.4912  0.9912  0.7841  1 Os 1.87
N  0.5000  0.5000  0.0000  4 Ac 2.65
N  0.5088  0.0088  0.2159  1 Os 1.87
N  0.7072  0.4912  0.5000  1 Os 1.87
N  0.7928  0.2928  0.7841  1 Os 1.87
N  0.9912  0.2072  0.5000  1 Os 1.87

***

Entry from Alexandria: B3MoC after structural relaxation (PBE).

Properties
energy above the lowest structure with this stoichiometry	1238	meV/atom

Cell: 4.1362 4.1362 4.1362 Å, 90.00 90.00 90.00°
Closest atoms and distances in Å follow each position.
Atoms (fractional coordinates):
B  0.0000  0.0000  0.5000  2 Mo 2.07
B  0.0000  0.5000  0.0000  2 Mo 2.07
B  0.5000  0.0000  0.0000  2 Mo 2.07
Mo  0.0000  0.0000  0.0000  6 B 2.07
C  0.5000  0.5000  0.5000  12 B 2.92

***

Entry from Alexandria: Zn2SiIr after structural relaxation (PBE).

Properties
energy relative to the elements, uncorrected	-0.15	eV/atom

Cell: 3.0323 3.9810 5.1274 Å, 90.00 106.76 90.00°
Closest atoms and distances in Å follow each position.
Atoms (fractional coordinates):
Zn  0.0000  0.0000  0.0000  3 Si 2.54-2.82, 4 Ir 2.74
Zn  0.3399  0.5000  0.6915  3 Ir 2.62-2.75, 4 Si 2.70, 2 Zn 2.91
Si  0.7383  0.0000  0.4829  2 Ir 2.36, 1 Zn 2.54
Ir  0.6099  0.5000  0.2253  2 Si 2.36, 1 Zn 2.62

***

Entry from Alexandria: VCu2Pt3 after structural relaxation (PBE).

Cell: 3.1830 3.1830 8.4071 Å, 90.00 90.00 90.00°
Closest atoms and distances in Å follow each position.
Atoms (fractional coordinates):
V  0.0000  0.0000  0.0000  8 Pt 2.66, 2 Cu 2.82
Cu  0.0000  0.0000  0.3357  8 Pt 2.64-2.66, 1 Cu 2.76, 1 V 2.82
Cu  0.0000  0.0000  0.6643  8 Pt 2.64-2.66, 1 Cu 2.76, 1 V 2.82
Pt  0.5000  0.5000  0.1676  4 V 2.66, 4 Cu 2.66, 2 Pt 2.79-2.82
Pt  0.5000  0.5000  0.5000  8 Cu 2.64, 2 Pt 2.79
Pt  0.5000  0.5000  0.8324  4 V 2.66, 4 Cu 2.66, 2 Pt 2.79-2.82

***

Entry from Alexandria: DyHoEr14 after structural relaxation (PBE).

Cell: 10.9708 6.8461 6.8461 Å, 72.11 90.00 90.00°
Closest atoms and distances in Å follow each position.
Atoms (fractional coordinates):
Dy  0.0000  0.0000  0.0000  10 Er 3.32-3.50
Ho  0.0000  0.4479  0.4479  12 Er 3.44-3.70
Er  0.0000  0.5165  0.9256  7 Er 3.30-3.58, 2 Dy 3.41-3.50, 2 Ho 3.44-3.46
Er  0.0000  0.9256  0.5165  7 Er 3.30-3.58, 2 Dy 3.41-3.50, 2 Ho 3.44-3.46
Er  0.2324  0.2080  0.2080  9 Er 3.39-3.69, 1 Dy 3.43, 1 Ho 3.68
Er  0.2504  0.1382  0.7199  9 Er 3.31-3.61, 1 Dy 3.32, 1 Ho 3.62
Er  0.2504  0.7199  0.1382  9 Er 3.31-3.61, 1 Dy 3.32, 1 Ho 3.62
Er  0.2687  0.6500  0.6500  10 Er 3.39-3.67, 1 Ho 3.70
Er  0.5000  0.3425  0.9328  11 Er 3.30-3.58
Er  0.5000  0.4101  0.4101  12 Er 3.44-3.69
Er  0.5000  0.8591  0.8591  10 Er 3.31-3.50
Er  0.5000  0.9328  0.3425  11 Er 3.30-3.58
Er  0.7313  0.6500  0.6500  10 Er 3.39-3.67, 1 Ho 3.70
Er  0.7496  0.1382  0.7199  9 Er 3.31-3.61, 1 Dy 3.32, 1 Ho 3.62
Er  0.7496  0.7199  0.1382  9 Er 3.31-3.61, 1 Dy 3.32, 1 Ho 3.62
Er  0.7676  0.2080  0.2080  9 Er 3.39-3.69, 1 Dy 3.43, 1 Ho 3.68

***

For reference, electronic total energy by record: -106.83; -143.82; -26.33; -17.43; -37.10; -72.10 eV per cell.